Entry 1:
## Li6Bi2B4SO16 (GGA-PBEsol)

Data for a relaxed Li6Bi2B4SO16 crystal.

Cell: 9.5647 9.5647 9.5647 Å, 60.00 60.00 60.00°
Fractional positions:
1 O 0.8092 0.0636 0.0636
2 O 0.8573 0.4405 0.9955
3 O 0.7067 0.4405 0.8573
4 O 0.9955 0.7067 0.8573
5 O 0.3927 0.8095 0.2545
6 O 0.0636 0.8092 0.0636
7 O 0.0636 0.0636 0.8092
8 O 0.4405 0.9955 0.8573
9 O 0.4408 0.1864 0.1864
10 O 0.9955 0.4405 0.7067
11 O 0.2545 0.8095 0.5433
12 O 0.4405 0.8573 0.7067
13 O 0.3927 0.2545 0.5433
14 O 0.2545 0.3927 0.8095
15 O 0.5433 0.8095 0.3927
16 O 0.9955 0.8573 0.4405
17 O 0.3927 0.5433 0.8095
18 O 0.5433 0.3927 0.2545
19 O 0.8573 0.9955 0.7067
20 O 0.7067 0.9955 0.4405
21 O 0.8573 0.7067 0.4405
22 O 0.8095 0.2545 0.3927
23 O 0.5433 0.2545 0.8095
24 O 0.1864 0.1864 0.1864
25 O 0.8095 0.5433 0.2545
26 O 0.2545 0.5433 0.3927
27 O 0.8095 0.3927 0.5433
28 O 0.1864 0.4408 0.1864
29 O 0.4405 0.7067 0.9955
30 O 0.1864 0.1864 0.4408
31 O 0.7067 0.8573 0.9955
32 O 0.0636 0.0636 0.0636
33 Bi 0.1250 0.6250 0.6250
34 Bi 0.6250 0.6250 0.1250
35 Bi 0.6250 0.1250 0.6250
36 Bi 0.6250 0.6250 0.6250
37 B 0.8537 0.4390 0.8537
38 B 0.3963 0.8110 0.3963
39 B 0.3963 0.3963 0.3963
40 B 0.8537 0.8537 0.8537
41 B 0.3963 0.3963 0.8110
42 B 0.8537 0.8537 0.4390
43 B 0.8110 0.3963 0.3963
44 B 0.4390 0.8537 0.8537
45 Li 0.2106 0.7894 0.2106
46 Li 0.7894 0.7894 0.2106
47 Li 0.0394 0.4606 0.0394
48 Li 0.0394 0.0394 0.4606
49 Li 0.2106 0.7894 0.7894
50 Li 0.7894 0.2106 0.2106
51 Li 0.7894 0.2106 0.7894
52 Li 0.2106 0.2106 0.7894
53 Li 0.4606 0.0394 0.4606
54 Li 0.4606 0.4606 0.0394
55 Li 0.0394 0.4606 0.4606
56 Li 0.4606 0.0394 0.0394
57 S 0.0000 0.0000 0.0000
58 S 0.2500 0.2500 0.2500

## Properties
ΔE_f (raw): -1.919 eV per atom
Fermi-level density of states: 10.005 states/eV/f.u.
Space-group type: Fd-3 (203)

=====

Entry 2:
## Li2MnP2O7 (GGA-PBEsol)

Data for a relaxed Li2MnP2O7 crystal.

Cell: 5.0221 7.0243 8.4751 Å, 94.73 93.02 109.05°
Last column: magnetic moment on the atom in μB.
Fractional positions:
1 Mn 0.0002 0.0032 0.0053  4.50
2 Mn 0.5118 0.5104 0.4938  4.51
3 Li 0.5896 0.6259 0.8515  0.00
4 Li 0.4123 0.3727 0.1551  0.00
5 Li 0.0655 0.9403 0.4057  0.00
6 Li 0.0297 0.3386 0.6790  0.00
7 O 0.4080 0.2082 0.9480  0.03
8 O 0.7071 0.9822 0.3237  0.01
9 O 0.4091 0.6234 0.2865  0.03
10 O 0.5784 0.7986 0.0437  0.03
11 O 0.3062 0.6284 0.6855  0.02
12 O 0.6444 0.3280 0.3289  0.03
13 O 0.9864 0.7644 0.8437  0.03
14 O 0.8283 0.1388 0.8186  0.03
15 O 0.0800 0.2676 0.4634  0.02
16 O 0.6031 0.3687 0.7030  0.03
17 O 0.3345 0.9988 0.6771  0.00
18 O 0.2070 0.8938 0.2015  0.03
19 O 0.9253 0.7306 0.5407  0.03
20 O 0.0066 0.2455 0.1627  0.03
21 P 0.5531 0.1843 0.7978  0.02
22 P 0.8660 0.2253 0.3179  0.02
23 P 0.4558 0.8146 0.2037  0.02
24 P 0.1283 0.7703 0.6895  0.01

## Properties
ΔE_f (raw): -2.163 eV per atom
Fermi-level density of states: 0.000 states/eV/f.u.
Polymorph energy (0 for the lowest one): 0.015 eV per atom
Space-group type: P1 (1)